VASP calculation (PBE) on crystalline Ho2Al9Ag at its relaxed geometry.

Properties
Calculated formation energy ... -0.2410 eV per atom
DOS at the Fermi energy ... 0.241 states/eV/atom

Cell: 4.2203 4.2203 12.4500 Å, 90.00 90.00 90.00°
Closest atoms and distances in Å follow each position.
Space group P4/mmm (No. 123)
Asymmetric unit:
Ho: 0.0000 0.0000 0.1723 (multiplicity 2)  12 Al 2.98-3.03
Al: 0.0000 0.5000 0.0000 (multiplicity 2)  8 Al 2.98, 4 Ho 3.01
Al: 0.0000 0.5000 0.3472 (multiplicity 4)  8 Al 2.84-3.07, 2 Ag 2.84, 2 Ho 3.03
Al: 0.5000 0.5000 0.1685 (multiplicity 2)  8 Al 2.98-3.07, 4 Ho 2.98
Al: 0.5000 0.5000 0.5000 (multiplicity 1)  8 Al 2.84, 4 Ag 2.98
Ag: 0.0000 0.0000 0.5000 (multiplicity 1)  12 Al 2.84-2.98

VASP calculation (PBE) on crystalline Ho4Al2Ag at its relaxed geometry.

Properties
Calculated formation energy ... -0.2104 eV per atom
DOS at the Fermi energy ... 1.064 states/eV/atom

Cell: 5.0907 5.0907 24.6240 Å, 90.00 90.00 120.00°
Closest atoms and distances in Å follow each position.
Space group R-3m (No. 166, hexagonal axes)
Asymmetric unit:
Ho: 0.0000 0.0000 0.1203 (multiplicity 6)  4 Al 3.07-3.17, 3 Ag 3.15
Ho: 0.0000 0.0000 0.3717 (multiplicity 6)  4 Al 3.02-3.15, 1 Ag 3.16
Al: 0.0000 0.0000 0.2491 (multiplicity 6)  8 Ho 3.02-3.17
Ag: 0.0000 0.0000 0.5000 (multiplicity 3)  8 Ho 3.15-3.16

VASP calculation (PBE) on crystalline Ho8Al2Ag at its relaxed geometry.

Properties
Calculated formation energy ... -0.1585 eV per atom
DOS at the Fermi energy ... 1.063 states/eV/atom

Cell: 18.2621 5.0555 6.7045 Å, 90.00 102.66 90.00°
Closest atoms and distances in Å follow each position.
Space group C2/m (No. 12)
Asymmetric unit:
Ho: 0.0226 0.0000 0.2662 (multiplicity 4)  2 Ag 3.05, 1 Al 3.09, 1 Ho 3.41
Ho: 0.0947 0.5000 0.9651 (multiplicity 4)  1 Ag 3.22, 6 Ho 3.31-3.59, 2 Al 3.39
Ho: 0.1573 0.5000 0.4671 (multiplicity 4)  1 Ag 2.93, 3 Al 3.03-3.06
Ho: 0.2055 0.0000 0.8006 (multiplicity 4)  3 Al 3.05-3.23, 3 Ho 3.36-3.39
Al: 0.1896 0.0000 0.2446 (multiplicity 4)  9 Ho 3.03-3.39
Ag: 0.0000 0.5000 0.5000 (multiplicity 2)  8 Ho 2.93-3.22

VASP calculation (PBE) on crystalline Ho6Al2Ag at its relaxed geometry.

Properties
Calculated formation energy ... -0.0077 eV per atom
DOS at the Fermi energy ... 1.117 states/eV/atom

Cell: 4.9660 7.1328 15.0464 Å, 90.00 90.00 90.00°
Closest atoms and distances in Å follow each position.
Space group Immm (No. 71)
Asymmetric unit:
Ho: 0.0000 0.2475 0.1663 (multiplicity 8)  1 Ag 3.06, 3 Al 3.07
Ho: 0.0000 0.2514 0.5000 (multiplicity 4)  2 Ag 3.05, 2 Al 3.08
Al: 0.0000 0.0000 0.3335 (multiplicity 4)  8 Ho 3.07-3.08
Ag: 0.0000 0.0000 0.0000 (multiplicity 2)  8 Ho 3.05-3.06

VASP calculation (PBE) on crystalline HoAl6Ag6 at its relaxed geometry.

Properties
Calculated formation energy ... -0.1760 eV per atom
DOS at the Fermi energy ... 0.285 states/eV/atom

Cell: 5.3828 9.0907 9.4208 Å, 90.00 90.00 90.00°
Closest atoms and distances in Å follow each position.
Space group Immm (No. 71)
Asymmetric unit:
Ho: 0.0000 0.0000 0.0000 (multiplicity 2)  8 Ag 3.07-3.25, 4 Al 3.41
Al: 0.0000 0.2694 0.5000 (multiplicity 4)  4 Al 2.72, 6 Ag 2.77-2.86
Al: 0.2500 0.2500 0.2500 (multiplicity 8)  4 Al 2.69-2.72, 6 Ag 2.70-2.83
Ag: 0.0000 0.0000 0.3451 (multiplicity 4)  6 Al 2.79-2.85, 3 Ag 2.92-3.05
Ag: 0.0000 0.3379 0.0000 (multiplicity 4)  6 Al 2.83-2.86, 1 Ag 2.95, 1 Ho 3.07
Ag: 0.0000 0.5000 0.3082 (multiplicity 4)  6 Al 2.70-2.77

VASP calculation (PBE) on crystalline Ho2AlAg at its relaxed geometry.

Properties
Calculated formation energy ... -0.3650 eV per atom
DOS at the Fermi energy ... 0.614 states/eV/atom

Cell: 3.5356 3.5356 7.5221 Å, 90.00 90.00 90.00°
Closest atoms and distances in Å follow each position.
Space group P4/mmm (No. 123)
Asymmetric unit:
Ho: 0.0000 0.0000 0.2503 (multiplicity 2)  4 Ag 3.13, 4 Al 3.13
Al: 0.5000 0.5000 0.0000 (multiplicity 1)  8 Ho 3.13
Ag: 0.5000 0.5000 0.5000 (multiplicity 1)  8 Ho 3.13

Number 1: raw total energy -4.05 eV/atom. Number 2: raw total energy -4.30 eV/atom. Number 3: raw total energy -4.43 eV/atom. Number 4: raw total energy -4.21 eV/atom. Number 5: raw total energy -3.57 eV/atom. Number 6: raw total energy -4.30 eV/atom.